GGA-PBEsol Tb2O3, optimized geometry; ρ = 8.9 g cm⁻³; formation energy from raw total energies = -3.585 eV per atom; final energy = -43.69 eV/f.u.
1.0
6.934 -1.749 0.000
6.934 1.749 0.000
-1.492 0.000 8.471
Tb O
6 9
Direct
0.033 0.033 0.312
0.310 0.310 0.363
0.365 0.365 0.013
0.635 0.635 0.987
0.690 0.690 0.637
0.967 0.967 0.688
0.128 0.128 0.783
0.175 0.175 0.471
0.205 0.205 0.124
0.472 0.472 0.844
0.500 0.500 0.500
0.528 0.528 0.156
0.795 0.795 0.876
0.825 0.825 0.529
0.872 0.872 0.217